(1)
The following is a DFT calculation (GGA-PBE) of crystalline Cs2Hg2As at its relaxed geometry.

Unit cell a=8.076 b=8.076 c=5.779 alpha=90.00 beta=90.00 gamma=90.00
Atoms (fractional coordinates):
Cs 0.178 0.322 0.000
Cs 0.322 0.822 0.000
Cs 0.678 0.178 0.000
Cs 0.822 0.678 0.000
Hg 0.139 0.639 0.500
Hg 0.361 0.139 0.500
Hg 0.639 0.861 0.500
Hg 0.861 0.361 0.500
As 0.000 0.000 0.500
As 0.500 0.500 0.500

Computed properties:
- relative energy among the computed polymorphs (meV/atom) = 149.5
- SG = No. 127

***

(2)
The following is a DFT calculation (GGA-PBE) of crystalline LiLaGaPt3 at its relaxed geometry.

Unit cell a=7.104 b=7.104 c=5.883 alpha=90.00 beta=90.00 gamma=132.18
Atoms (fractional coordinates):
Li 0.113 0.887 0.750
Li 0.887 0.113 0.250
La 0.325 0.675 0.750
La 0.675 0.325 0.250
Ga 0.384 0.616 0.250
Ga 0.616 0.384 0.750
Pt 0.188 0.812 0.250
Pt 0.239 0.239 0.000
Pt 0.239 0.239 0.500
Pt 0.761 0.761 0.000
Pt 0.761 0.761 0.500
Pt 0.812 0.188 0.750

Computed properties:
- SG = No. 63
- total DFT energy (no corrections) (eV/atom) = -5.3956

***

(3)
The following is a DFT calculation (GGA-PBE) of crystalline LaPm2Os at its relaxed geometry.

Unit cell a=7.450 b=9.700 c=6.580 alpha=90.00 beta=90.00 gamma=90.00
Atoms (fractional coordinates):
La 0.051 0.250 0.142
La 0.449 0.750 0.642
La 0.551 0.250 0.358
La 0.949 0.750 0.858
Pm 0.171 0.067 0.670
Pm 0.171 0.433 0.670
Pm 0.329 0.567 0.170
Pm 0.329 0.933 0.170
Pm 0.671 0.067 0.830
Pm 0.671 0.433 0.830
Pm 0.829 0.567 0.330
Pm 0.829 0.933 0.330
Os 0.119 0.750 0.454
Os 0.381 0.250 0.954
Os 0.619 0.750 0.046
Os 0.881 0.250 0.546

Computed properties:
- relative energy among the computed polymorphs (meV/atom) = 0.0
- SG = No. 62

***

(4)
The following is a DFT calculation (GGA-PBE) of crystalline SiNi2W at its relaxed geometry.

Unit cell a=2.693 b=3.898 c=4.916 alpha=90.00 beta=102.33 gamma=90.00
Atoms (fractional coordinates):
Si 0.000 0.000 0.000
Ni 0.131 0.500 0.759
Ni 0.869 0.500 0.241
W 0.500 0.000 0.500

Computed properties:
- SG = No. 10
- uncorrected formation energy (eV/atom) = -0.17

***

(5)
The following is a DFT calculation (GGA-PBE) of crystalline Li2OsCl at its relaxed geometry.

Unit cell a=4.437 b=4.437 c=4.437 alpha=60.00 beta=60.00 gamma=60.00
Atoms (fractional coordinates):
Li 0.000 0.000 0.000
Li 0.250 0.250 0.250
Os 0.750 0.750 0.750
Cl 0.500 0.500 0.500

Computed properties:
- relative energy among the computed polymorphs (meV/atom) = 1021.2
- SG = No. 216
- uncorrected formation energy (eV/atom) = 0.71

***

(6)
The following is a DFT calculation (GGA-PBE) of crystalline Mg2SiSb2 at its relaxed geometry.

Unit cell a=7.229 b=7.229 c=4.622 alpha=90.00 beta=90.00 gamma=90.00
Atoms (fractional coordinates):
Mg 0.160 0.340 0.000
Mg 0.340 0.840 0.000
Mg 0.660 0.160 0.000
Mg 0.840 0.660 0.000
Si 0.000 0.000 0.000
Si 0.500 0.500 0.000
Sb 0.145 0.645 0.500
Sb 0.355 0.145 0.500
Sb 0.645 0.855 0.500
Sb 0.855 0.355 0.500

Computed properties:
- relative energy among the computed polymorphs (meV/atom) = 33.5
- SG = No. 127
- uncorrected formation energy (eV/atom) = 0.16

***

(7)
The following is a DFT calculation (GGA-PBE) of crystalline Ba2SrBr at its relaxed geometry.

Unit cell a=7.802 b=7.802 c=7.598 alpha=118.75 beta=118.75 gamma=31.28
Atoms (fractional coordinates):
Ba 0.000 0.000 0.000
Ba 0.189 0.189 0.698
Sr 0.387 0.387 0.384
Br 0.704 0.704 0.344

Computed properties:
- relative energy among the computed polymorphs (meV/atom) = 96.1
- SG = No. 8
- uncorrected formation energy (eV/atom) = -0.65

***

(8)
The following is a DFT calculation (GGA-PBE) of crystalline La2NdAl6 at its relaxed geometry.

Unit cell a=7.991 b=7.991 c=3.891 alpha=90.00 beta=90.00 gamma=120.00
Atoms (fractional coordinates):
La 0.333 0.667 0.000
La 0.667 0.333 0.000
Nd 0.000 0.000 0.000
Al 0.000 0.332 0.500
Al 0.000 0.668 0.500
Al 0.332 0.000 0.500
Al 0.332 0.332 0.500
Al 0.668 0.000 0.500
Al 0.668 0.668 0.500

Computed properties:
- SG = No. 191
- total DFT energy (no corrections) (eV/atom) = -4.5841

***

(9)
The following is a DFT calculation (GGA-PBE) of crystalline YFeTc at its relaxed geometry.

Unit cell a=5.339 b=5.339 c=5.339 alpha=122.80 beta=120.07 gamma=87.55
Atoms (fractional coordinates):
Y 0.373 0.123 0.250
Y 0.627 0.877 0.750
Fe 0.000 0.500 0.500
Fe 0.500 0.500 0.000
Tc 0.000 0.000 0.500
Tc 0.000 0.500 0.000

Computed properties:
- relative energy among the computed polymorphs (meV/atom) = 0.0
- SG = No. 74

***

(10)
The following is a DFT calculation (GGA-PBE) of crystalline NaYC at its relaxed geometry.

Unit cell a=4.731 b=4.731 c=5.941 alpha=90.00 beta=90.00 gamma=90.00
Atoms (fractional coordinates):
Na 0.250 0.250 0.036
Na 0.750 0.750 0.964
Y 0.250 0.750 0.500
Y 0.750 0.250 0.500
C 0.250 0.250 0.628
C 0.750 0.750 0.372

Computed properties:
- relative energy among the computed polymorphs (meV/atom) = 367.6
- SG = No. 129

***

(11)
The following is a DFT calculation (GGA-PBE) of crystalline Sm10Sb3Se7 at its relaxed geometry.

Unit cell a=11.263 b=11.263 c=7.390 alpha=96.22 beta=96.22 gamma=141.56
Atoms (fractional coordinates):
Sm 0.050 0.443 0.236
Sm 0.147 0.348 0.748
Sm 0.247 0.247 0.256
Sm 0.348 0.147 0.748
Sm 0.443 0.050 0.236
Sm 0.557 0.950 0.764
Sm 0.652 0.853 0.252
Sm 0.753 0.753 0.744
Sm 0.853 0.652 0.252
Sm 0.950 0.557 0.764
Sb 0.203 0.797 0.500
Sb 0.500 0.500 0.000
Sb 0.797 0.203 0.500
Se 0.000 0.000 0.500
Se 0.097 0.903 0.000
Se 0.300 0.700 0.000
Se 0.400 0.600 0.500
Se 0.600 0.400 0.500
Se 0.700 0.300 0.000
Se 0.903 0.097 0.000

Computed properties:
- SG = No. 12
- uncorrected formation energy (eV/atom) = -1.62

***

(12)
The following is a DFT calculation (GGA-PBE) of crystalline Pm2HoEr6Tm at its relaxed geometry.

Unit cell a=8.700 b=8.700 c=9.585 alpha=94.51 beta=94.51 gamma=118.11
Atoms (fractional coordinates):
Pm 0.195 0.299 0.043
Pm 0.299 0.195 0.543
Pm 0.701 0.805 0.457
Pm 0.805 0.701 0.957
Ho 0.019 0.981 0.250
Ho 0.981 0.019 0.750
Er 0.021 0.575 0.187
Er 0.126 0.746 0.557
Er 0.254 0.874 0.943
Er 0.291 0.503 0.381
Er 0.425 0.979 0.313
Er 0.497 0.709 0.119
Er 0.503 0.291 0.881
Er 0.575 0.021 0.687
Er 0.709 0.497 0.619
Er 0.746 0.126 0.057
Er 0.874 0.254 0.443
Er 0.979 0.425 0.813
Tm 0.407 0.593 0.750
Tm 0.593 0.407 0.250

Computed properties:
- SG = No. 15
- total DFT energy (no corrections) (eV/atom) = -4.4760

***

(13)
The following is a DFT calculation (GGA-PBE) of crystalline SrAcSnCl at its relaxed geometry.

Unit cell a=5.679 b=5.679 c=5.679 alpha=60.00 beta=60.00 gamma=60.00
Atoms (fractional coordinates):
Sr 0.000 0.000 0.000
Ac 0.500 0.500 0.500
Sn 0.750 0.750 0.750
Cl 0.250 0.250 0.250

Computed properties:
- SG = No. 216
- uncorrected formation energy (eV/atom) = -1.11

***

(14)
The following is a DFT calculation (GGA-PBE) of crystalline ZnIn7 at its relaxed geometry.

Unit cell a=6.633 b=6.633 c=6.633 alpha=60.00 beta=60.00 gamma=60.00
Atoms (fractional coordinates):
Zn 0.000 0.000 0.000
In 0.000 0.000 0.500
In 0.000 0.500 0.000
In 0.000 0.500 0.500
In 0.500 0.000 0.000
In 0.500 0.000 0.500
In 0.500 0.500 0.000
In 0.500 0.500 0.500

Computed properties:
- SG = No. 225
- total DFT energy (no corrections) (eV/atom) = -2.4952

***

(15)
The following is a DFT calculation (GGA-PBE) of crystalline K2Hg12Sb at its relaxed geometry.

Unit cell a=7.195 b=7.195 c=18.113 alpha=90.00 beta=90.00 gamma=90.00
Atoms (fractional coordinates):
K 0.250 0.750 0.248
K 0.250 0.750 0.752
K 0.750 0.250 0.248
K 0.750 0.250 0.752
Hg 0.000 0.000 0.097
Hg 0.000 0.000 0.903
Hg 0.000 0.500 0.097
Hg 0.000 0.500 0.903
Hg 0.094 0.594 0.433
Hg 0.094 0.906 0.567
Hg 0.250 0.250 0.189
Hg 0.250 0.250 0.353
Hg 0.250 0.250 0.647
Hg 0.250 0.250 0.811
Hg 0.406 0.594 0.567
Hg 0.406 0.906 0.433
Hg 0.500 0.000 0.097
Hg 0.500 0.000 0.903
Hg 0.500 0.500 0.097
Hg 0.500 0.500 0.903
Hg 0.594 0.094 0.567
Hg 0.594 0.406 0.433
Hg 0.750 0.750 0.189
Hg 0.750 0.750 0.353
Hg 0.750 0.750 0.647
Hg 0.750 0.750 0.811
Hg 0.906 0.094 0.433
Hg 0.906 0.406 0.567
Sb 0.250 0.750 0.000
Sb 0.750 0.250 0.000

Computed properties:
- SG = No. 125
- uncorrected formation energy (eV/atom) = -0.11

***

(16)
The following is a DFT calculation (GGA-PBE) of crystalline CsLiPaBr6 at its relaxed geometry.

Unit cell a=7.290 b=7.290 c=16.456 alpha=90.00 beta=90.00 gamma=120.00
Atoms (fractional coordinates):
Cs 0.000 0.000 0.000
Cs 0.000 0.000 0.500
Li 0.333 0.667 0.250
Li 0.667 0.333 0.750
Pa 0.333 0.667 0.750
Pa 0.667 0.333 0.250
Br 0.001 0.371 0.152
Br 0.001 0.630 0.348
Br 0.370 0.371 0.348
Br 0.370 0.999 0.152
Br 0.371 0.001 0.652
Br 0.371 0.370 0.848
Br 0.629 0.630 0.152
Br 0.629 0.999 0.348
Br 0.630 0.001 0.848
Br 0.630 0.629 0.652
Br 0.999 0.370 0.652
Br 0.999 0.629 0.848

Computed properties:
- SG = No. 163
- uncorrected formation energy (eV/atom) = -1.59

***

(17)
The following is a DFT calculation (GGA-PBE) of crystalline PdRuO2F at its relaxed geometry.

Unit cell a=3.798 b=3.798 c=4.384 alpha=90.00 beta=90.00 gamma=90.00
Atoms (fractional coordinates):
Pd 0.000 0.000 0.000
Ru 0.500 0.500 0.500
O 0.000 0.500 0.500
O 0.500 0.000 0.500
F 0.500 0.500 0.000

Computed properties:
- SG = No. 123
- uncorrected formation energy (eV/atom) = -0.41

***

(18)
The following is a DFT calculation (GGA-PBE) of crystalline LiPr at its relaxed geometry.

Unit cell a=3.555 b=3.555 c=11.097 alpha=90.00 beta=90.00 gamma=120.00
Atoms (fractional coordinates):
Li 0.333 0.667 0.106
Li 0.667 0.333 0.894
Pr 0.333 0.667 0.637
Pr 0.667 0.333 0.363

Computed properties:
- relative energy among the computed polymorphs (meV/atom) = 47.0
- SG = No. 164

***

(19)
The following is a DFT calculation (GGA-PBE) of crystalline Ca5ZnHg6 at its relaxed geometry.

Unit cell a=9.128 b=9.128 c=5.224 alpha=106.52 beta=106.52 gamma=119.45
Atoms (fractional coordinates):
Ca 0.000 0.000 0.000
Ca 0.169 0.831 0.500
Ca 0.338 0.662 0.000
Ca 0.662 0.338 0.000
Ca 0.831 0.169 0.500
Zn 0.500 0.500 0.500
Hg 0.092 0.417 0.256
Hg 0.251 0.251 0.749
Hg 0.417 0.092 0.256
Hg 0.583 0.908 0.744
Hg 0.749 0.749 0.251
Hg 0.908 0.583 0.744

Computed properties:
- SG = No. 12
- total DFT energy (no corrections) (eV/atom) = -1.5378

***

(20)
The following is a DFT calculation (GGA-PBE) of crystalline ZnTeSe2N at its relaxed geometry.

Unit cell a=5.165 b=5.165 c=3.736 alpha=90.00 beta=90.00 gamma=90.00
Atoms (fractional coordinates):
Zn 0.000 0.000 0.000
Te 0.500 0.500 0.500
Se 0.000 0.500 0.000
Se 0.500 0.000 0.000
N 0.000 0.000 0.500

Computed properties:
- relative energy among the computed polymorphs (meV/atom) = 0.0
- SG = No. 123
- uncorrected formation energy (eV/atom) = 0.84

***

(21)
The following is a DFT calculation (GGA-PBE) of crystalline BeReOsAu2 at its relaxed geometry.

Unit cell a=5.049 b=5.049 c=4.658 alpha=90.00 beta=90.00 gamma=90.00
Atoms (fractional coordinates):
Be 0.000 0.000 0.000
Re 0.500 0.500 0.000
Os 0.500 0.500 0.500
Au 0.000 0.500 0.500
Au 0.500 0.000 0.500

Computed properties:
- SG = No. 123
- total DFT energy (no corrections) (eV/atom) = -4.8198

***

(22)
The following is a DFT calculation (GGA-PBE) of crystalline TmPaReTc at its relaxed geometry.

Unit cell a=4.826 b=4.826 c=4.826 alpha=60.00 beta=60.00 gamma=60.00
Atoms (fractional coordinates):
Tm 0.000 0.000 0.000
Pa 0.500 0.500 0.500
Re 0.750 0.750 0.750
Tc 0.250 0.250 0.250

Computed properties:
- SG = No. 216
- total DFT energy (no corrections) (eV/atom) = -9.2949

***

Density readings, ordered: 6.5; 12.1; 8.6; 10.8; 6.4; 4.4; 3.5; 4.5; 7.7; 3.1; 7.3; 8.5; 6.0; 7.0; 9.2; 3.7; 6.8; 4.0; 7.8; 6.1; 10.9; 14.3 g/cm³